# GGA-PBEsol ScZnPb2Br, optimized geometry
# **Raw formation energy**: 414 meV per atom
data_ScZnPb2Br
_chemical_formula_sum 'Sc1 Zn1 Pb2 Br1'
_cell_length_a 5.6755
_cell_length_b 5.6755
_cell_length_c 5.1329
_cell_angle_alpha 90.00
_cell_angle_beta 90.00
_cell_angle_gamma 90.00
_space_group_name_H-M_alt 'P 4/m m m'
_space_group_IT_number 123
_space_group_name_Hall '-P 4 2'
loop_
_atom_site_label
_atom_site_fract_x
_atom_site_fract_y
_atom_site_fract_z
_atom_site_occupancy
Sc1 0.0000 0.0000 0.0000 1
Zn1 0.0000 0.0000 0.5000 1
Pb1 0.0000 0.5000 0.0000 1
Br1 0.5000 0.5000 0.5000 1



# GGA-PBEsol PbSe4Br, optimized geometry
# **Raw formation energy**: 120 meV per atom
data_PbSe4Br
_chemical_formula_sum 'Pb4 Se16 Br4'
_cell_length_a 8.1404
_cell_length_b 8.1404
_cell_length_c 8.1404
_cell_angle_alpha 90.00
_cell_angle_beta 90.00
_cell_angle_gamma 90.00
_space_group_name_H-M_alt 'F -4 3 m'
_space_group_IT_number 216
_space_group_name_Hall 'F -4 2 3'
loop_
_atom_site_label
_atom_site_fract_x
_atom_site_fract_y
_atom_site_fract_z
_atom_site_occupancy
Pb1 0.0000 0.0000 0.0000 1
Se1 0.1248 0.1248 0.6248 1
Br1 0.2500 0.2500 0.2500 1



# GGA-PBEsol PbSeBr, optimized geometry
# **Raw formation energy**: -354 meV per atom
data_PbSeBr
_chemical_formula_sum 'Pb1 Se1 Br1'
_cell_length_a 4.0844
_cell_length_b 4.0844
_cell_length_c 6.0665
_cell_angle_alpha 90.00
_cell_angle_beta 90.00
_cell_angle_gamma 120.00
_space_group_name_H-M_alt 'P 3 m 1'
_space_group_IT_number 156
loop_
_space_group_symop_operation_xyz
'x,y,z'
'-y,x-y,z'
'-x+y,-x,z'
'-y,-x,z'
'-x+y,y,z'
'x,x-y,z'
loop_
_atom_site_label
_atom_site_fract_x
_atom_site_fract_y
_atom_site_fract_z
_atom_site_occupancy
Pb1 0.0000 0.0000 0.0000 1
Se1 0.6667 0.3333 0.7457 1
Br1 0.3333 0.6667 0.3267 1



# GGA-PBEsol PbSeBr, optimized geometry
# **Raw formation energy**: -255 meV per atom
data_PbSeBr
_chemical_formula_sum 'Pb2 Se2 Br2'
_cell_length_a 3.9839
_cell_length_b 3.9839
_cell_length_c 10.4590
_cell_angle_alpha 90.00
_cell_angle_beta 90.00
_cell_angle_gamma 90.00
_space_group_name_H-M_alt 'I 4 m m'
_space_group_IT_number 107
_space_group_name_Hall 'I 4 -2'
loop_
_atom_site_label
_atom_site_fract_x
_atom_site_fract_y
_atom_site_fract_z
_atom_site_occupancy
Pb1 0.0000 0.0000 0.0000 1
Se1 0.0000 0.0000 0.5865 1
Br1 0.0000 0.0000 0.2846 1



# GGA-PBEsol SrPbSe2Br, optimized geometry
# **Raw formation energy**: -407 meV per atom
data_SrPbSe2Br
_chemical_formula_sum 'Sr1 Pb1 Se2 Br1'
_cell_length_a 5.6218
_cell_length_b 5.6218
_cell_length_c 5.5746
_cell_angle_alpha 90.00
_cell_angle_beta 90.00
_cell_angle_gamma 90.00
_space_group_name_H-M_alt 'P 4/m m m'
_space_group_IT_number 123
_space_group_name_Hall '-P 4 2'
loop_
_atom_site_label
_atom_site_fract_x
_atom_site_fract_y
_atom_site_fract_z
_atom_site_occupancy
Sr1 0.0000 0.0000 0.0000 1
Pb1 0.5000 0.5000 0.5000 1
Se1 0.0000 0.5000 0.0000 1
Br1 0.0000 0.0000 0.5000 1



# GGA-PBEsol SrPbSe2Br, optimized geometry
# **Raw formation energy**: -749 meV per atom
data_SrPbSe2Br
_chemical_formula_sum 'Sr1 Pb1 Se2 Br1'
_cell_length_a 5.4155
_cell_length_b 5.4155
_cell_length_c 5.5502
_cell_angle_alpha 90.00
_cell_angle_beta 90.00
_cell_angle_gamma 90.00
_space_group_name_H-M_alt 'P 4/m m m'
_space_group_IT_number 123
_space_group_name_Hall '-P 4 2'
loop_
_atom_site_label
_atom_site_fract_x
_atom_site_fract_y
_atom_site_fract_z
_atom_site_occupancy
Sr1 0.0000 0.0000 0.0000 1
Pb1 0.5000 0.5000 0.5000 1
Se1 0.0000 0.5000 0.5000 1
Br1 0.5000 0.5000 0.0000 1



# GGA-PBEsol TePbSe2Br, optimized geometry
# **Raw formation energy**: 89 meV per atom
data_TePbSe2Br
_chemical_formula_sum 'Te1 Pb1 Se2 Br1'
_cell_length_a 5.3584
_cell_length_b 5.3584
_cell_length_c 5.3503
_cell_angle_alpha 90.00
_cell_angle_beta 90.00
_cell_angle_gamma 90.00
_space_group_name_H-M_alt 'P 4/m m m'
_space_group_IT_number 123
_space_group_name_Hall '-P 4 2'
loop_
_atom_site_label
_atom_site_fract_x
_atom_site_fract_y
_atom_site_fract_z
_atom_site_occupancy
Te1 0.0000 0.0000 0.0000 1
Pb1 0.5000 0.5000 0.5000 1
Se1 0.0000 0.5000 0.0000 1
Br1 0.0000 0.0000 0.5000 1



# GGA-PBEsol ZnPbSeBr2, optimized geometry
# **Raw formation energy**: -394 meV per atom
data_ZnPbSeBr2
_chemical_formula_sum 'Zn1 Pb1 Se1 Br2'
_cell_length_a 4.9718
_cell_length_b 4.9718
_cell_length_c 5.1221
_cell_angle_alpha 90.00
_cell_angle_beta 90.00
_cell_angle_gamma 90.00
_space_group_name_H-M_alt 'P 4/m m m'
_space_group_IT_number 123
_space_group_name_Hall '-P 4 2'
loop_
_atom_site_label
_atom_site_fract_x
_atom_site_fract_y
_atom_site_fract_z
_atom_site_occupancy
Zn1 0.0000 0.0000 0.0000 1
Pb1 0.5000 0.5000 0.5000 1
Se1 0.0000 0.0000 0.5000 1
Br1 0.0000 0.5000 0.0000 1



# GGA-PBEsol Si2Pb2Br, optimized geometry
# **Raw formation energy**: 1018 meV per atom
data_Si2Pb2Br
_chemical_formula_sum 'Si2 Pb2 Br1'
_cell_length_a 5.1817
_cell_length_b 5.1817
_cell_length_c 6.2917
_cell_angle_alpha 90.00
_cell_angle_beta 90.00
_cell_angle_gamma 90.00
_space_group_name_H-M_alt 'P 4/m m m'
_space_group_IT_number 123
_space_group_name_Hall '-P 4 2'
loop_
_atom_site_label
_atom_site_fract_x
_atom_site_fract_y
_atom_site_fract_z
_atom_site_occupancy
Si1 0.0000 0.5000 0.0000 1
Pb1 0.0000 0.0000 0.0000 1
Pb2 0.0000 0.0000 0.5000 1
Br1 0.5000 0.5000 0.5000 1



# GGA-PBEsol Si2PbBr, optimized geometry
# **Raw formation energy**: 521 meV per atom
data_Si2PbBr
_chemical_formula_sum 'Si2 Pb1 Br1'
_cell_length_a 3.1983
_cell_length_b 4.6048
_cell_length_c 6.0930
_cell_angle_alpha 90.00
_cell_angle_beta 90.00
_cell_angle_gamma 90.00
_space_group_name_H-M_alt 'P m m m'
_space_group_IT_number 47
loop_
_space_group_symop_operation_xyz
'x,y,z'
'-x,-y,-z'
'-x,-y,z'
'x,y,-z'
'x,-y,-z'
'-x,y,z'
'-x,y,-z'
'x,-y,z'
loop_
_atom_site_label
_atom_site_fract_x
_atom_site_fract_y
_atom_site_fract_z
_atom_site_occupancy
Si1 0.0000 0.0000 0.2021 1
Pb1 0.5000 0.5000 0.5000 1
Br1 0.5000 0.5000 0.0000 1



# GGA-PBEsol Si2PbBr, optimized geometry
# **Raw formation energy**: 466 meV per atom
data_Si2PbBr
_chemical_formula_sum 'Si8 Pb4 Br4'
_cell_length_a 7.0028
_cell_length_b 7.0028
_cell_length_c 7.0028
_cell_angle_alpha 90.00
_cell_angle_beta 90.00
_cell_angle_gamma 90.00
_space_group_name_H-M_alt 'F -4 3 m'
_space_group_IT_number 216
_space_group_name_Hall 'F -4 2 3'
loop_
_atom_site_label
_atom_site_fract_x
_atom_site_fract_y
_atom_site_fract_z
_atom_site_occupancy
Si1 0.0000 0.0000 0.0000 1
Si2 0.2500 0.2500 0.2500 1
Pb1 0.0000 0.0000 0.5000 1
Br1 0.2500 0.2500 0.7500 1



# GGA-PBEsol SiPbBr2, optimized geometry
# **Raw formation energy**: -100 meV per atom
data_SiPbBr2
_chemical_formula_sum 'Si2 Pb2 Br4'
_cell_length_a 3.7556
_cell_length_b 5.0350
_cell_length_c 11.9178
_cell_angle_alpha 90.00
_cell_angle_beta 90.00
_cell_angle_gamma 90.00
_space_group_name_H-M_alt 'I m m m'
_space_group_IT_number 71
_space_group_name_Hall '-I 2 2'
loop_
_atom_site_label
_atom_site_fract_x
_atom_site_fract_y
_atom_site_fract_z
_atom_site_occupancy
Si1 0.0000 0.0000 0.0000 1
Pb1 0.0000 0.0000 0.5000 1
Br1 0.0000 0.5000 0.3320 1



# GGA-PBEsol SiPbBr2, optimized geometry
# **Raw formation energy**: 94 meV per atom
data_SiPbBr2
_chemical_formula_sum 'Si4 Pb4 Br8'
_cell_length_a 4.8157
_cell_length_b 4.8157
_cell_length_c 19.1225
_cell_angle_alpha 90.00
_cell_angle_beta 90.00
_cell_angle_gamma 90.00
_space_group_name_H-M_alt 'I -4 2 d'
_space_group_IT_number 122
_space_group_name_Hall 'I -4 2bw'
loop_
_atom_site_label
_atom_site_fract_x
_atom_site_fract_y
_atom_site_fract_z
_atom_site_occupancy
Si1 0.0000 0.0000 0.0000 1
Pb1 0.0000 0.0000 0.5000 1
Br1 0.2276 0.2500 0.1250 1



# GGA-PBEsol SiPbBr2, optimized geometry
# **Raw formation energy**: -177 meV per atom
data_SiPbBr2
_chemical_formula_sum 'Si1 Pb1 Br2'
_cell_length_a 3.6571
_cell_length_b 4.4046
_cell_length_c 8.0353
_cell_angle_alpha 90.00
_cell_angle_beta 102.87
_cell_angle_gamma 90.00
_space_group_name_H-M_alt 'P 1 m 1'
_space_group_IT_number 6
loop_
_space_group_symop_operation_xyz
'x,y,z'
'x,-y,z'
loop_
_atom_site_label
_atom_site_fract_x
_atom_site_fract_y
_atom_site_fract_z
_atom_site_occupancy
Si1 0.0000 0.0000 0.0000 1
Pb1 0.5425 0.5000 0.0872 1
Br1 0.1832 0.5000 0.3726 1
Br2 0.8598 0.0000 0.7135 1



# GGA-PBEsol Si2PbBr, optimized geometry
# **Raw formation energy**: 532 meV per atom
data_Si2PbBr
_chemical_formula_sum 'Si4 Pb2 Br2'
_cell_length_a 3.3061
_cell_length_b 5.5016
_cell_length_c 9.6071
_cell_angle_alpha 90.00
_cell_angle_beta 90.00
_cell_angle_gamma 90.00
_space_group_name_H-M_alt 'C m m m'
_space_group_IT_number 65
_space_group_name_Hall '-C 2 2'
loop_
_atom_site_label
_atom_site_fract_x
_atom_site_fract_y
_atom_site_fract_z
_atom_site_occupancy
Si1 0.0000 0.0000 0.2291 1
Pb1 0.0000 0.5000 0.5000 1
Br1 0.0000 0.5000 0.0000 1



# GGA-PBEsol SiPbBr2, optimized geometry
# **Raw formation energy**: 144 meV per atom
data_SiPbBr2
_chemical_formula_sum 'Si1 Pb1 Br2'
_cell_length_a 4.8693
_cell_length_b 4.8693
_cell_length_c 4.1231
_cell_angle_alpha 90.00
_cell_angle_beta 90.00
_cell_angle_gamma 90.00
_space_group_name_H-M_alt 'P 4/m m m'
_space_group_IT_number 123
_space_group_name_Hall '-P 4 2'
loop_
_atom_site_label
_atom_site_fract_x
_atom_site_fract_y
_atom_site_fract_z
_atom_site_occupancy
Si1 0.0000 0.0000 0.0000 1
Pb1 0.5000 0.5000 0.0000 1
Br1 0.0000 0.5000 0.5000 1



# GGA-PBEsol SrPbBr2, optimized geometry
# **Raw formation energy**: -1062 meV per atom
data_SrPbBr2
_chemical_formula_sum 'Sr2 Pb2 Br4'
_cell_length_a 3.8671
_cell_length_b 6.4746
_cell_length_c 9.8152
_cell_angle_alpha 90.00
_cell_angle_beta 90.00
_cell_angle_gamma 90.00
_space_group_name_H-M_alt 'I m m m'
_space_group_IT_number 71
_space_group_name_Hall '-I 2 2'
loop_
_atom_site_label
_atom_site_fract_x
_atom_site_fract_y
_atom_site_fract_z
_atom_site_occupancy
Sr1 0.0000 0.0000 0.0000 1
Pb1 0.0000 0.0000 0.5000 1
Br1 0.0000 0.5000 0.2616 1



# GGA-PBEsol SrPbBr2, optimized geometry
# **Raw formation energy**: -1122 meV per atom
data_SrPbBr2
_chemical_formula_sum 'Sr1 Pb1 Br2'
_cell_length_a 3.6044
_cell_length_b 3.6044
_cell_length_c 11.0429
_cell_angle_alpha 90.00
_cell_angle_beta 90.00
_cell_angle_gamma 90.00
_space_group_name_H-M_alt 'P 4/m m m'
_space_group_IT_number 123
_space_group_name_Hall '-P 4 2'
loop_
_atom_site_label
_atom_site_fract_x
_atom_site_fract_y
_atom_site_fract_z
_atom_site_occupancy
Sr1 0.0000 0.0000 0.0000 1
Pb1 0.0000 0.0000 0.5000 1
Br1 0.5000 0.5000 0.1599 1



# GGA-PBEsol Sr2PbBr, optimized geometry
# **Raw formation energy**: -373 meV per atom
data_Sr2PbBr
_chemical_formula_sum 'Sr8 Pb4 Br4'
_cell_length_a 8.1036
_cell_length_b 8.1036
_cell_length_c 8.1036
_cell_angle_alpha 90.00
_cell_angle_beta 90.00
_cell_angle_gamma 90.00
_space_group_name_H-M_alt 'F -4 3 m'
_space_group_IT_number 216
_space_group_name_Hall 'F -4 2 3'
loop_
_atom_site_label
_atom_site_fract_x
_atom_site_fract_y
_atom_site_fract_z
_atom_site_occupancy
Sr1 0.0000 0.0000 0.0000 1
Sr2 0.2500 0.2500 0.2500 1
Pb1 0.0000 0.0000 0.5000 1
Br1 0.2500 0.2500 0.7500 1



# GGA-PBEsol Sr2PbBr, optimized geometry
# **Raw formation energy**: -1086 meV per atom
data_Sr2PbBr
_chemical_formula_sum 'Sr2 Pb1 Br1'
_cell_length_a 5.9466
_cell_length_b 5.9466
_cell_length_c 3.8843
_cell_angle_alpha 90.00
_cell_angle_beta 90.00
_cell_angle_gamma 90.00
_space_group_name_H-M_alt 'P 4 m m'
_space_group_IT_number 99
loop_
_space_group_symop_operation_xyz
'x,y,z'
'-y,x,z'
'-x,-y,z'
'y,-x,z'
'-x,y,z'
'y,x,z'
'x,-y,z'
'-y,-x,z'
loop_
_atom_site_label
_atom_site_fract_x
_atom_site_fract_y
_atom_site_fract_z
_atom_site_occupancy
Sr1 0.0000 0.5000 0.0000 1
Pb1 0.0000 0.0000 0.5115 1
Br1 0.5000 0.5000 0.1396 1



| no. | volume (A^3/atom) | raw total energy (eV/atom) | D(E_F) (states/eV per atom) |
| --- | --- | --- | --- |
| 1 | 33.07 | -3.197 | 1.02 |
| 2 | 22.48 | -3.425 | 0.53 |
| 3 | 29.22 | -3.593 | 0.80 |
| 4 | 27.67 | -3.495 | 0.93 |
| 5 | 35.24 | -3.489 | 0.98 |
| 6 | 32.56 | -3.831 | 0.24 |
| 7 | 30.72 | -3.330 | 0.30 |
| 8 | 25.32 | -3.029 | 0.09 |
| 9 | 33.79 | -3.254 | 0.88 |
| 10 | 22.43 | -3.820 | 0.50 |
| 11 | 21.46 | -3.874 | 0.54 |
| 12 | 28.17 | -3.472 | 0.15 |
| 13 | 27.72 | -3.278 | 0.54 |
| 14 | 31.55 | -3.548 | 0.22 |
| 15 | 21.84 | -3.809 | 0.40 |
| 16 | 24.44 | -3.227 | 0.68 |
| 17 | 30.72 | -3.457 | 0.40 |
| 18 | 35.87 | -3.517 | 0.47 |
| 19 | 33.26 | -2.761 | 1.02 |
| 20 | 34.34 | -3.473 | 0.37 |